Record 1
Density functional theory data (PBE) for crystalline RbPd2Br7 at its relaxed geometry.

Calculated values
**Magnetization**: 0.0 μB/cell
**Fermi-level density of states**: 5.3 states/eV/f.u.
**Space group**: Cmmm
**ρ**: 4.04 Mg/m³
**Formation energy without anion corrections**: -0.451 eV/atom
**Calculated volume**: 352.68 Å³/cell

Lattice parameters (Å, degrees): 10.0727 10.0727 4.6676 90.00 90.00 131.86
Positions (direct):
Rb1 0.0000 0.0000 0.0000
Pd1 0.3625 0.6375 0.5000
Pd2 0.6375 0.3625 0.5000
Br1 0.0618 0.3331 0.5000
Br2 0.3151 0.6849 0.0000
Br3 0.3331 0.0618 0.5000
Br4 0.5000 0.5000 0.5000
Br5 0.6669 0.9382 0.5000
Br6 0.6849 0.3151 0.0000
Br7 0.9382 0.6669 0.5000

=====

Record 2
Density functional theory data (PBE) for crystalline Mo2PbBr at its relaxed geometry.

Calculated values
**Magnetization**: 0.0 μB/cell
**Fermi-level density of states**: 4.1 states/eV/f.u.
**Space group**: I-42d
**ρ**: 8.97 Mg/m³
**Formation energy without anion corrections**: 1.029 eV/atom
**Calculated volume**: 177.43 Å³/cell
**Distance to the lowest polymorph of the same formula**: 78.97 kJ/mol of atoms

Lattice parameters (Å, degrees): 9.5593 9.5593 9.5593 153.19 153.19 38.28
Positions (direct):
Mo1 0.0288 0.6250 0.9038
Mo2 0.3750 0.2788 0.4038
Mo3 0.7212 0.1250 0.0962
Mo4 0.8750 0.9712 0.5962
Pb1 0.2500 0.7500 0.5000
Pb2 0.5000 0.5000 0.0000
Br1 0.0000 0.0000 0.0000
Br2 0.7500 0.2500 0.5000

=====

Record 3
Density functional theory data (PBE) for crystalline CaGeAu3 at its relaxed geometry.

Calculated values
**Magnetization**: 0.0 μB/cell
**Fermi-level density of states**: 2.7 states/eV/f.u.
**Space group**: Pm-3m
**ρ**: 7.74 Mg/m³
**Calculated volume**: 150.95 Å³/cell
**Energy of formation**: 0.67 eV/atom
**Distance to the lowest polymorph of the same formula**: 107.03 kJ/mol of atoms

Lattice parameters (Å, degrees): 5.3245 5.3245 5.3245 90.00 90.00 90.00
Positions (direct):
Ca1 0.0000 0.0000 0.0000
Ge1 0.5000 0.5000 0.5000
Au1 0.0000 0.0000 0.5000
Au2 0.0000 0.5000 0.0000
Au3 0.5000 0.0000 0.0000

=====

Record 4
Density functional theory data (PBE) for crystalline YMn4 at its relaxed geometry.

Calculated values
**Magnetization**: 0.0 μB/cell
**Fermi-level density of states**: 7.1 states/eV/f.u.
**Space group**: C2/m
**ρ**: 6.62 Mg/m³
**Calculated volume**: 77.41 Å³/cell
**Energy of formation**: 0.46 eV/atom
**Distance to the lowest polymorph of the same formula**: 38.99 kJ/mol of atoms

Lattice parameters (Å, degrees): 4.1411 4.1411 6.7795 94.16 94.16 137.20
Positions (direct):
Y1 0.0000 0.0000 0.0000
Mn1 0.1900 0.4574 0.6418
Mn2 0.4574 0.1900 0.6418
Mn3 0.5426 0.8100 0.3582
Mn4 0.8100 0.5426 0.3582

=====

Record 5
Density functional theory data (PBE) for crystalline Eu2BiPb at its relaxed geometry.

Calculated values
**Magnetization**: 14.2 μB/cell
**Fermi-level density of states**: 2.3 states/eV/f.u.
**Space group**: Fm-3m
**ρ**: 9.08 Mg/m³
**Calculated volume**: 131.62 Å³/cell
**Energy of formation**: -0.60 eV/atom
**Distance to the lowest polymorph of the same formula**: 4.92 kJ/mol of atoms

Lattice parameters (Å, degrees): 5.7097 5.7097 5.7097 60.00 60.00 60.00
Positions (direct):
Eu1 0.2500 0.2500 0.2500
Eu2 0.7500 0.7500 0.7500
Bi1 0.0000 0.0000 0.0000
Pb1 0.5000 0.5000 0.5000

=====

Record 6
Density functional theory data (PBE) for crystalline CdRe2C at its relaxed geometry.

Calculated values
**Magnetization**: 0.0 μB/cell
**Fermi-level density of states**: 1.8 states/eV/f.u.
**Space group**: I-42d
**ρ**: 11.13 Mg/m³
**Calculated volume**: 148.19 Å³/cell
**Energy of formation**: 1.28 eV/atom
**Distance to the lowest polymorph of the same formula**: 0.00 kJ/mol of atoms

Lattice parameters (Å, degrees): 6.9428 6.9428 6.9428 138.00 138.00 60.90
Positions (direct):
Cd1 0.0000 0.0000 0.0000
Cd2 0.7500 0.2500 0.5000
Re1 0.2915 0.6250 0.1665
Re2 0.3750 0.5415 0.6665
Re3 0.4585 0.1250 0.8335
Re4 0.8750 0.7085 0.3335
C1 0.2500 0.7500 0.5000
C2 0.5000 0.5000 0.0000

=====

Record 7
Density functional theory data (PBE) for crystalline K2Sr at its relaxed geometry.

Calculated values
**Magnetization**: 0.0 μB/cell
**Fermi-level density of states**: 2.8 states/eV/f.u.
**Space group**: Fmmm
**ρ**: 1.42 Mg/m³
**Calculated volume**: 193.60 Å³/cell
**Energy of formation**: 0.07 eV/atom

Lattice parameters (Å, degrees): 11.9956 11.6525 4.3352 83.93 75.01 21.06
Positions (direct):
K1 0.1633 0.1633 0.8367
K2 0.8367 0.8367 0.1633
Sr1 0.5000 0.5000 0.5000

=====

Record 8
Density functional theory data (PBE) for crystalline Nb4Mo at its relaxed geometry.

Calculated values
**Magnetization**: 0.0 μB/cell
**Fermi-level density of states**: 7.1 states/eV/f.u.
**Space group**: I-42m
**ρ**: 7.87 Mg/m³
**Calculated volume**: 98.63 Å³/cell
**Energy of formation**: 0.63 eV/atom
**Distance to the lowest polymorph of the same formula**: 17.76 kJ/mol of atoms

Lattice parameters (Å, degrees): 5.0642 5.0642 5.0642 113.48 113.48 101.72
Positions (direct):
Nb1 0.0465 0.6431 0.0000
Nb2 0.3569 0.3569 0.4034
Nb3 0.6431 0.0465 0.0000
Nb4 0.9535 0.9535 0.5966
Mo1 0.5000 0.5000 0.0000